Entry 1:
DFT (GGA-PBE) results for a relaxed SrTa2Zn crystal.

a b c (Å): 4.9003 4.9003 10.4046
angles (deg): 76.38 76.38 90.00
Element x y z (fractional)
Sr 0.0000 0.0000 0.0000
Sr 0.7500 0.2500 0.5000
Zn 0.5000 0.5000 0.0000
Zn 0.2500 0.7500 0.5000
Ta 0.3751 0.1250 0.2500
Ta 0.3749 0.6250 0.2500
Ta 0.3750 0.6249 0.7500
Ta 0.8750 0.6251 0.7500

Computed properties:
- calculated formation energy (eV/atom) = 1.087
- symmetry = No. 141


Entry 2:
DFT (GGA-PBE) results for a relaxed Nd6BiAs2S3 crystal.

a b c (Å): 4.2374 8.4740 9.4571
angles (deg): 102.48 102.95 90.00
Element x y z (fractional)
Nd 0.3253 0.9103 0.6505
Nd 0.6673 0.5833 0.3346
Nd 0.6747 0.0897 0.3495
Nd 0.0005 0.2721 0.0010
Nd 0.9995 0.7279 0.9990
Nd 0.3327 0.4167 0.6654
Bi 0.5000 0.0000 0.0000
As 0.8327 0.6661 0.6655
As 0.1673 0.3339 0.3345
S 0.5000 0.5000 0.0000
S 0.8352 0.1678 0.6705
S 0.1648 0.8322 0.3295

Computed properties:
- symmetry = No. 12
- DFT total energy (eV for the cell shown) = -74.02


Entry 3:
DFT (GGA-PBE) results for a relaxed Cs2RbBiCl6 crystal.

a b c (Å): 8.2830 8.2830 8.2830
angles (deg): 60.00 60.00 60.00
Element x y z (fractional)
Cs 0.7500 0.7500 0.7500
Cs 0.2500 0.2500 0.2500
Rb 0.5000 0.5000 0.5000
Bi 0.0000 0.0000 0.0000
Cl 0.7677 0.2323 0.2323
Cl 0.2323 0.2323 0.7677
Cl 0.2323 0.7677 0.7677
Cl 0.2323 0.7677 0.2323
Cl 0.7677 0.2323 0.7677
Cl 0.7677 0.7677 0.2323

Computed properties:
- energy above the most stable polymorph in this dataset (meV per atom) = 29.6
- symmetry = No. 225


Entry 4:
DFT (GGA-PBE) results for a relaxed YTeI2F crystal.

a b c (Å): 5.7279 5.7279 4.3721
angles (deg): 90.00 90.00 90.00
Element x y z (fractional)
I 0.0000 0.5000 0.0000
I 0.5000 0.0000 0.0000
Y 0.5000 0.5000 0.5000
Te 0.0000 0.0000 0.5000
F 0.0000 0.0000 0.0000

Computed properties:
- energy above the most stable polymorph in this dataset (meV per atom) = 97.3
- symmetry = No. 123


Entry 5:
DFT (GGA-PBE) results for a relaxed Sc4PaAu5 crystal.

a b c (Å): 3.3812 3.3812 17.7967
angles (deg): 90.00 90.00 90.00
Site moments in Bohr magnetons follow the coordinates.
Element x y z (fractional)
Sc 0.0000 0.0000 0.2112  0.02
Sc 0.0000 0.0000 0.4034  0.00
Sc 0.0000 0.0000 0.5966  0.00
Sc 0.0000 0.0000 0.7888  0.02
Pa 0.0000 0.0000 0.0000  1.07
Au 0.5000 0.5000 0.1178  0.01
Au 0.5000 0.5000 0.3067  0.00
Au 0.5000 0.5000 0.5000  0.00
Au 0.5000 0.5000 0.6933  0.00
Au 0.5000 0.5000 0.8822  0.01

Computed properties:
- calculated formation energy (eV/atom) = -0.691
- symmetry = No. 123


Entry 6:
DFT (GGA-PBE) results for a relaxed SnHNCl2 crystal.

a b c (Å): 5.2408 5.2408 3.0772
angles (deg): 90.00 90.00 90.00
Site moments in Bohr magnetons follow the coordinates.
Element x y z (fractional)
H 0.0000 0.0000 0.0000  -0.04
N 0.0000 0.0000 0.5000  1.35
Sn 0.5000 0.5000 0.5000  0.00
Cl 0.0000 0.5000 0.0000  0.09
Cl 0.5000 0.0000 0.0000  0.09

Computed properties:
- symmetry = No. 123
- DFT total energy (eV for the cell shown) = -16.41


Entry 7:
DFT (GGA-PBE) results for a relaxed Sm2HoErSe4 crystal.

a b c (Å): 4.0477 7.0548 7.2603
angles (deg): 108.72 90.00 90.00
Element x y z (fractional)
Sm 0.5000 0.0000 0.5000
Sm 0.0000 0.5000 0.5000
Ho 0.0000 0.0000 0.0000
Er 0.5000 0.5000 0.0000
Se 0.5000 0.2467 0.2379
Se 0.5000 0.7533 0.7621
Se 0.0000 0.2552 0.7627
Se 0.0000 0.7448 0.2373

Computed properties:
- symmetry = No. 10
- DFT total energy (eV for the cell shown) = -46.64


Entry 8:
DFT (GGA-PBE) results for a relaxed Pm2TlAs2O6 crystal.

a b c (Å): 6.5220 7.1017 7.7691
angles (deg): 127.28 86.98 65.87
Site moments in Bohr magnetons follow the coordinates.
Element x y z (fractional)
Pm 0.8357 0.3401 0.7850  0.00
Pm 0.1643 0.6599 0.2150  0.00
Tl 0.5000 0.0000 0.5000  0.01
As 0.1830 0.7232 0.8242  0.15
As 0.8170 0.2768 0.1758  0.15
O 0.3763 0.6933 0.9725  0.06
O 0.9584 0.4322 0.1478  0.07
O 0.1692 0.9020 0.5705  0.04
O 0.0416 0.5678 0.8522  0.07
O 0.8308 0.0980 0.4295  0.04
O 0.6237 0.3067 0.0275  0.06

Computed properties:
- symmetry = No. 2
- DFT total energy (eV for the cell shown) = -71.75


Entry 9:
DFT (GGA-PBE) results for a relaxed ZnInMo2 crystal.

a b c (Å): 5.1864 5.1864 5.1864
angles (deg): 141.66 127.32 67.00
Element x y z (fractional)
In 0.2522 0.7522 0.5000
Mo 0.9817 0.9817 0.0000
Mo 0.7602 0.2602 0.5000
Zn 0.5060 0.5060 0.0000

Computed properties:
- energy above the most stable polymorph in this dataset (meV per atom) = 107.7
- calculated formation energy (eV/atom) = 0.261
- symmetry = No. 44


Entry 10:
DFT (GGA-PBE) results for a relaxed Rb2LiMoRu crystal.

a b c (Å): 6.7777 4.6232 6.7777
angles (deg): 90.00 90.00 90.00
Site moments in Bohr magnetons follow the coordinates.
Element x y z (fractional)
Ru 0.0000 0.0000 0.0000  -0.18
Mo 0.0000 0.5000 0.0000  1.85
Rb 0.0000 0.0000 0.5000  0.01
Rb 0.5000 0.0000 0.0000  0.00
Li 0.5000 0.5000 0.5000  -0.02

Computed properties:
- calculated formation energy (eV/atom) = 1.231
- symmetry = No. 123


Entry 11:
DFT (GGA-PBE) results for a relaxed AsPRh crystal.

a b c (Å): 4.5698 2.9761 8.2290
angles (deg): 90.00 102.39 90.00
Element x y z (fractional)
As 0.8046 0.0000 0.6670
As 0.8046 0.5000 0.1670
P 0.3765 0.0000 0.4571
P 0.3765 0.5000 0.9571
Rh 0.2793 0.0000 0.1617
Rh 0.2793 0.5000 0.6617

Computed properties:
- energy above the most stable polymorph in this dataset (meV per atom) = 431.3
- calculated formation energy (eV/atom) = -0.134
- symmetry = No. 8


Entry 12:
DFT (GGA-PBE) results for a relaxed ZrHgIrRh crystal.

a b c (Å): 4.6229 4.6229 4.6229
angles (deg): 60.00 60.00 60.00
Element x y z (fractional)
Ir 0.0000 0.0000 0.0000
Rh 0.5000 0.5000 0.5000
Hg 0.7500 0.7500 0.7500
Zr 0.2500 0.2500 0.2500

Computed properties:
- calculated formation energy (eV/atom) = -0.409
- symmetry = No. 216


Entry 13:
DFT (GGA-PBE) results for a relaxed SmDy7Ho3 crystal.

a b c (Å): 8.5691 7.0397 7.0397
angles (deg): 120.00 90.00 90.00
Element x y z (fractional)
Sm 0.4459 0.3333 0.6667
Dy 0.1159 0.1679 0.8321
Dy 0.1159 0.1679 0.3358
Dy 0.1200 0.6667 0.3333
Dy 0.4498 0.8321 0.1679
Dy 0.4498 0.3359 0.1679
Dy 0.4498 0.8321 0.6641
Dy 0.1159 0.6642 0.8321
Ho 0.7840 0.5003 0.4997
Ho 0.7840 0.5003 0.0006
Ho 0.7840 0.9994 0.4997

Computed properties:
- energy above the most stable polymorph in this dataset (meV per atom) = 0.0
- calculated formation energy (eV/atom) = 0.193
- symmetry = No. 156


Entry 14:
DFT (GGA-PBE) results for a relaxed Pr8In2Ag crystal.

a b c (Å): 5.4733 7.0043 9.7353
angles (deg): 93.68 106.33 90.00
Element x y z (fractional)
Pr 0.4083 0.5875 0.8166
Pr 0.6683 0.9135 0.3367
Pr 0.7890 0.3915 0.5779
Pr 0.0299 0.7653 0.0598
Pr 0.2110 0.6085 0.4221
Pr 0.3317 0.0865 0.6633
Pr 0.5917 0.4125 0.1834
Pr 0.9701 0.2347 0.9402
In 0.8458 0.8400 0.6917
In 0.1542 0.1600 0.3083
Ag 0.5000 0.0000 0.0000

Computed properties:
- energy above the most stable polymorph in this dataset (meV per atom) = 0.0
- calculated formation energy (eV/atom) = -0.209
- symmetry = No. 12


Entry 15:
DFT (GGA-PBE) results for a relaxed PrZn6Ru2 crystal.

a b c (Å): 4.3288 6.8080 6.8080
angles (deg): 57.74 71.46 71.46
Element x y z (fractional)
Pr 0.0000 0.0000 0.0000
Zn 0.7187 0.0868 0.4758
Zn 0.2813 0.9132 0.5242
Zn 0.2813 0.5242 0.9132
Zn 0.5000 0.6810 0.3190
Zn 0.5000 0.3190 0.6810
Zn 0.7187 0.4758 0.0868
Ru 0.8848 0.6152 0.6152
Ru 0.1152 0.3848 0.3848

Computed properties:
- calculated formation energy (eV/atom) = -0.038
- symmetry = No. 71


Entry 16:
DFT (GGA-PBE) results for a relaxed CeCo2Ge2H crystal.

a b c (Å): 3.9393 3.9393 5.3099
angles (deg): 90.00 90.00 90.00
Site moments in Bohr magnetons follow the coordinates.
Element x y z (fractional)
Ce 0.0000 0.0000 0.5000  0.37
Co 0.5000 0.0000 0.0000  0.41
Co 0.0000 0.5000 0.0000  0.41
Ge 0.5000 0.5000 0.7395  0.00
Ge 0.5000 0.5000 0.2605  0.00
H 0.0000 0.0000 0.0000  -0.01

Computed properties:
- symmetry = No. 123
- DFT total energy (eV for the cell shown) = -35.52


Entry 17:
DFT (GGA-PBE) results for a relaxed LiPmSc2 crystal.

a b c (Å): 3.5093 3.5093 8.1676
angles (deg): 90.00 90.00 90.00
Element x y z (fractional)
Sc 0.0000 0.0000 0.7904
Sc 0.0000 0.0000 0.2096
Li 0.5000 0.5000 0.0000
Pm 0.5000 0.5000 0.5000

Computed properties:
- energy above the most stable polymorph in this dataset (meV per atom) = 0.0
- calculated formation energy (eV/atom) = 0.128
- symmetry = No. 123


Entry 18:
DFT (GGA-PBE) results for a relaxed BiTeAs2I crystal.

a b c (Å): 5.3303 6.1540 5.3303
angles (deg): 90.00 90.00 90.00
Element x y z (fractional)
I 0.5000 0.5000 0.5000
As 0.0000 0.0000 0.5000
As 0.5000 0.0000 0.0000
Te 0.0000 0.0000 0.0000
Bi 0.0000 0.5000 0.0000

Computed properties:
- symmetry = No. 123
- DFT total energy (eV for the cell shown) = -13.84


Entry 19:
DFT (GGA-PBE) results for a relaxed Ho5USb6 crystal.

a b c (Å): 7.5699 7.5661 7.5732
angles (deg): 60.03 80.41 70.52
Site moments in Bohr magnetons follow the coordinates.
Element x y z (fractional)
Sb 0.7493 0.0835 0.3335  -0.02
Sb 0.2507 0.5830 0.3335  -0.02
Sb 0.2495 0.2501 0.0000  -0.02
Sb 0.7505 0.7499 0.0000  -0.02
Sb 0.7493 0.4170 0.6665  -0.02
Sb 0.2507 0.9165 0.6665  -0.02
U 0.0000 0.0000 0.0000  2.38
Ho 0.5000 0.1668 0.6665  0.00
Ho 0.0000 0.3334 0.3332  0.01
Ho 0.5000 0.5000 0.0000  0.00
Ho 0.0000 0.6666 0.6668  0.01
Ho 0.5000 0.8332 0.3335  0.00

Computed properties:
- symmetry = No. 12
- DFT total energy (eV for the cell shown) = -70.32


Entry 20:
DFT (GGA-PBE) results for a relaxed Cd2Re2Au crystal.

a b c (Å): 6.7971 6.7971 4.2271
angles (deg): 90.00 90.00 90.00
Element x y z (fractional)
Re 0.3808 0.8808 0.0000
Re 0.8808 0.6192 0.0000
Re 0.6192 0.1192 0.0000
Re 0.1192 0.3808 0.0000
Au 0.0000 0.0000 0.0000
Au 0.5000 0.5000 0.0000
Cd 0.1791 0.6791 0.5000
Cd 0.6791 0.8209 0.5000
Cd 0.8209 0.3209 0.5000
Cd 0.3209 0.1791 0.5000

Computed properties:
- energy above the most stable polymorph in this dataset (meV per atom) = 0.0
- calculated formation energy (eV/atom) = 0.727
- symmetry = No. 127


Entry 21:
DFT (GGA-PBE) results for a relaxed NaZrPdSe2 crystal.

a b c (Å): 4.7937 7.3687 6.7484
angles (deg): 100.35 90.00 90.00
Element x y z (fractional)
Na 0.1731 0.5000 0.7500
Na 0.8269 0.5000 0.2500
Zr 0.4960 0.0000 0.2500
Zr 0.5040 0.0000 0.7500
Pd 0.0000 0.0000 0.0000
Pd 0.0000 0.0000 0.5000
Se 0.6827 0.7303 0.9491
Se 0.6827 0.2697 0.5509
Se 0.3173 0.7303 0.4491
Se 0.3173 0.2697 0.0509

Computed properties:
- symmetry = No. 13
- DFT total energy (eV for the cell shown) = -53.65


Entry 22:
DFT (GGA-PBE) results for a relaxed ScVNi2N crystal.

a b c (Å): 4.4080 3.9646 4.4080
angles (deg): 90.00 90.00 90.00
Element x y z (fractional)
Sc 0.0000 0.0000 0.0000
Ni 0.0000 0.0000 0.5000
Ni 0.5000 0.0000 0.0000
N 0.0000 0.5000 0.0000
V 0.5000 0.5000 0.5000

Computed properties:
- symmetry = No. 123
- DFT total energy (eV for the cell shown) = -29.36


Entry 23:
DFT (GGA-PBE) results for a relaxed Pr6Cd5Bi crystal.

a b c (Å): 5.5357 9.5991 9.5991
angles (deg): 120.64 106.77 106.77
Element x y z (fractional)
Pr 0.2503 0.0829 0.4177
Pr 0.7497 0.5823 0.9171
Pr 0.7503 0.2504 0.2504
Pr 0.2497 0.7496 0.7496
Pr 0.2503 0.4177 0.0829
Pr 0.7497 0.9171 0.5823
Bi 0.0000 0.0000 0.0000
Cd 0.5000 0.1745 0.8255
Cd 0.0000 0.3338 0.6662
Cd 0.5000 0.5000 0.5000
Cd 0.0000 0.6662 0.3338
Cd 0.5000 0.8255 0.1745

Computed properties:
- calculated formation energy (eV/atom) = -0.398
- symmetry = No. 71


Entry 24:
DFT (GGA-PBE) results for a relaxed Si2SbIF crystal.

a b c (Å): 5.4645 4.3041 5.4645
angles (deg): 90.00 90.00 90.00
Element x y z (fractional)
I 0.5000 0.5000 0.5000
Sb 0.0000 0.0000 0.0000
Si 0.0000 0.0000 0.5000
Si 0.5000 0.0000 0.0000
F 0.0000 0.5000 0.0000

Computed properties:
- symmetry = No. 123
- DFT total energy (eV for the cell shown) = -17.62


| no. | calculated volume (Å³/atom) |
| --- | --- |
| 1 | 29.4 |
| 2 | 26.9 |
| 3 | 40.2 |
| 4 | 28.7 |
| 5 | 20.3 |
| 6 | 16.9 |
| 7 | 24.5 |
| 8 | 21.6 |
| 9 | 16.9 |
| 10 | 42.5 |
| 11 | 18.2 |
| 12 | 17.5 |
| 13 | 33.4 |
| 14 | 32.5 |
| 15 | 17.6 |
| 16 | 13.7 |
| 17 | 25.1 |
| 18 | 35.0 |
| 19 | 29.5 |
| 20 | 19.5 |
| 21 | 23.4 |
| 22 | 15.4 |
| 23 | 29.7 |
| 24 | 25.7 |